The following is a DFT calculation (PBE) of a relaxed Ca3Ga2Sn3O12 crystal.

Lattice parameters (Å, degrees): 11.1705 11.1705 11.1705 109.47 109.47 109.47
Fractional coordinates of all 80 atoms:
Ca (0.1250, 0.2500, 0.3750)
Ca (0.1250, 0.3750, 0.7500)
Ca (0.2500, 0.3750, 0.1250)
Ca (0.2500, 0.8750, 0.6250)
Ca (0.3750, 0.1250, 0.2500)
Ca (0.3750, 0.7500, 0.1250)
Ca (0.6250, 0.2500, 0.8750)
Ca (0.6250, 0.8750, 0.7500)
Ca (0.7500, 0.1250, 0.3750)
Ca (0.7500, 0.6250, 0.8750)
Ca (0.8750, 0.6250, 0.2500)
Ca (0.8750, 0.7500, 0.6250)
Ga (0.0000, 0.0000, 0.0000)
Ga (0.0000, 0.0000, 0.5000)
Ga (0.0000, 0.5000, 0.0000)
Ga (0.0000, 0.5000, 0.5000)
Ga (0.5000, 0.0000, 0.0000)
Ga (0.5000, 0.0000, 0.5000)
Ga (0.5000, 0.5000, 0.0000)
Ga (0.5000, 0.5000, 0.5000)
Sn (0.1250, 0.7500, 0.8750)
Sn (0.1250, 0.8750, 0.2500)
Sn (0.2500, 0.1250, 0.8750)
Sn (0.2500, 0.6250, 0.3750)
Sn (0.3750, 0.2500, 0.6250)
Sn (0.3750, 0.6250, 0.7500)
Sn (0.6250, 0.3750, 0.2500)
Sn (0.6250, 0.7500, 0.3750)
Sn (0.7500, 0.3750, 0.6250)
Sn (0.7500, 0.8750, 0.1250)
Sn (0.8750, 0.1250, 0.7500)
Sn (0.8750, 0.2500, 0.1250)
O (0.0271, 0.1985, 0.1202)
O (0.0271, 0.3286, 0.9069)
O (0.0783, 0.6985, 0.6714)
O (0.0783, 0.8798, 0.4069)
O (0.0931, 0.6202, 0.4217)
O (0.0931, 0.9729, 0.6714)
O (0.1202, 0.0271, 0.1985)
O (0.1202, 0.5931, 0.9217)
O (0.1714, 0.1985, 0.5783)
O (0.1714, 0.4729, 0.5931)
O (0.1985, 0.1202, 0.0271)
O (0.1985, 0.5783, 0.1714)
O (0.3015, 0.3286, 0.9217)
O (0.3015, 0.4729, 0.3798)
O (0.3286, 0.9069, 0.0271)
O (0.3286, 0.9217, 0.3015)
O (0.3798, 0.3015, 0.4729)
O (0.3798, 0.5783, 0.9069)
O (0.4069, 0.0783, 0.8798)
O (0.4069, 0.8286, 0.5271)
O (0.4217, 0.0931, 0.6202)
O (0.4217, 0.8286, 0.8015)
O (0.4729, 0.3798, 0.3015)
O (0.4729, 0.5931, 0.1714)
O (0.5271, 0.4069, 0.8286)
O (0.5271, 0.6202, 0.6985)
O (0.5783, 0.1714, 0.1985)
O (0.5783, 0.9069, 0.3798)
O (0.5931, 0.1714, 0.4729)
O (0.5931, 0.9217, 0.1202)
O (0.6202, 0.4217, 0.0931)
O (0.6202, 0.6985, 0.5271)
O (0.6714, 0.0783, 0.6985)
O (0.6714, 0.0931, 0.9729)
O (0.6985, 0.5271, 0.6202)
O (0.6985, 0.6714, 0.0783)
O (0.8015, 0.4217, 0.8286)
O (0.8015, 0.8798, 0.9729)
O (0.8286, 0.5271, 0.4069)
O (0.8286, 0.8015, 0.4217)
O (0.8798, 0.4069, 0.0783)
O (0.8798, 0.9729, 0.8015)
O (0.9069, 0.0271, 0.3286)
O (0.9069, 0.3798, 0.5783)
O (0.9217, 0.1202, 0.5931)
O (0.9217, 0.3015, 0.3286)
O (0.9729, 0.6714, 0.0931)
O (0.9729, 0.8015, 0.8798)

Values from the calculation:
Fermi-level density of states (states/eV per cell): 0.0
Total moment (μB/cell): 0.00
Electronic total energy (eV/atom): -6.24